Entry from Alexandria via LeMat-Bulk: HgMoPt2 after structural relaxation (PBE).

Cell lengths 6.457, 6.457, 6.457 Å; angles 90.00, 90.00, 90.00 degrees
Space group F-43m (No. 216)
Unique sites:
Hg  0.000  0.000  0.000 [4 per cell]
Mo  0.250  0.250  0.250 [4 per cell]
Pt  0.000  0.000  0.500 [4 per cell]
Pt  0.250  0.250  0.750 [4 per cell]

Computed properties:
E_tot   -5.587 eV per atom
Crystal system   cubic